Here is Pr12Dy7Sc after structural relaxation from Alexandria. Energies are from PBE.

Lattice parameters (Å, degrees): 19.6764 19.6764 6.2618 90.00 90.00 120.00
Space group R-3 (No. 148, hexagonal axes)
Asymmetric unit:
Pr (0.0002, 0.4121, 0.0006) (multiplicity 18)
Pr (0.0987, 0.5497, 0.4712) (multiplicity 18)
Dy (0.0000, 0.0000, 0.0000) (multiplicity 3)
Dy (0.0800, 0.9194, 0.3015) (multiplicity 18)
Sc (0.0000, 0.0000, 0.5000) (multiplicity 3)

Calculated values
Energy of formation = 0.19 eV per atom